Entry 1:
Here is a relaxed NbAl3 crystal from the Alexandria database. Energies are from PBE.

## Properties
* DOS(E_F): 1.986 states/eV per cell
* ΔH_f (0 K): -0.276 eV/atom
* electronic total energy: -5.601 eV/atom
* calculated density: 4.37 g/cm3
* symmetry: Imm2 (44)

The structure in extended XYZ format:
```
4
Lattice="2.931 0.000 0.000 0.000 4.893 0.000 -1.465 -2.447 4.603" Properties=species:S:1:pos:R:3 pbc="T T T"
Nb 0.000 0.016 0.000
Al 0.000 1.633 2.322
Al 1.465 2.427 0.000
Al 1.465 -0.813 2.281
```

---

Entry 2:
Here is a relaxed AgHg2BSe4 crystal from the Alexandria database. Energies are from PBE.

## Properties
* DOS(E_F): 2.469 states/eV per cell
* E_form (uncorrected): -0.125 eV per atom
* electronic total energy: -3.134 eV/atom
* calculated density: 6.93 g/cm3
* symmetry: I-4 (82)

The structure in extended XYZ format:
```
8
Lattice="-1.651 4.685 3.158 -5.650 -1.355 -0.944 3.626 -4.899 3.678" Properties=species:S:1:pos:R:3 pbc="T T T"
Ag -0.850 -0.799 6.230
Hg -2.849 -3.820 4.178
Hg -0.012 -1.526 2.257
B -3.662 0.139 3.364
Se -2.172 -1.199 3.971
Se -2.888 2.074 3.172
Se -4.426 -0.400 1.493
Se 2.139 -3.248 2.608
```

---

Entry 3:
Here is a relaxed SbMoH2 crystal from the Alexandria database. Energies are from PBE.

## Properties
* DOS(E_F): 5.784 states/eV per cell
* excess energy over the best structure of this formula in the dataset: 0.0 kJ per mole of atoms
* electronic total energy: -4.888 eV/atom
* calculated density: 7.32 g/cm3
* symmetry: I-42d (122)

The structure in extended XYZ format:
```
8
Lattice="-3.270 -3.591 -0.754 1.875 -2.503 3.791 -3.345 -1.171 4.067" Properties=species:S:1:pos:R:3 pbc="T T T"
Sb 0.000 0.000 0.000
Sb -3.656 -3.904 2.416
Mo -0.697 -3.047 1.519
Mo -1.083 -3.361 4.688
H -2.312 -2.484 1.097
H -0.406 -2.672 3.215
H -2.840 -3.419 4.576
H -3.920 -5.955 5.321
```

---

Entry 4:
Here is a relaxed Tb3Dy2HoS6 crystal from the Alexandria database. Energies are from PBE.

## Properties
* DOS(E_F): 4.834 states/eV per cell
* E_form (uncorrected): -2.002 eV per atom
* electronic total energy: -6.372 eV/atom
* calculated density: 7.58 g/cm3
* symmetry: C2/m (12)

The structure in extended XYZ format:
```
12
Lattice="6.780 -0.013 -0.001 -3.400 5.866 -0.001 -1.128 -1.954 6.391" Properties=species:S:1:pos:R:3 pbc="T T T"
Tb -2.260 3.905 3.194
Tb 4.512 -0.006 3.194
Tb 1.126 1.949 3.194
Dy -0.007 3.906 -0.001
Dy 3.387 1.946 -0.001
Ho 0.000 0.000 0.000
S 3.381 1.952 4.810
S 2.257 3.908 1.581
S -1.130 1.947 1.578
S 0.001 3.904 4.810
S -0.006 -0.010 4.808
S 2.251 -0.005 1.578
```